The following is a PBE-GGA calculation of crystalline ThCuAg at its relaxed geometry, from Alexandria via LeMat-Bulk.

Geometry as extended XYZ:
```
9
Lattice="4.158 0.000 0.000 0.000 6.329 -3.654 0.000 0.000 7.308" Properties=species:S:1:pos:R:3 pbc="T T T"
Ag 0.000 4.787 2.764
Ag 0.000 1.541 -0.890
Ag 0.000 6.329 -1.874
Cu 2.079 0.000 0.000
Cu 0.000 2.110 3.654
Cu 0.000 4.219 0.000
Th 2.079 2.622 1.514
Th 2.079 6.329 0.626
Th 2.079 3.707 -2.140
```

- E: -4.931 eV/atom
- ΔH_f (0 K): -0.141 eV per atom
- E above lowest polymorph: 11 meV per atom

***

The following is a PBE-GGA calculation of crystalline Na2Mg2NpO6 at its relaxed geometry, from Alexandria via LeMat-Bulk.

Geometry as extended XYZ:
```
11
Lattice="5.450 0.025 0.017 -2.672 4.750 0.017 -1.031 -1.772 5.565" Properties=species:S:1:pos:R:3 pbc="T T T"
Mg 2.208 0.725 2.800
Mg -0.461 2.278 2.800
O 3.188 2.372 1.717
O -1.441 0.632 3.883
O 0.486 3.944 1.717
O 0.379 0.651 1.718
O 1.369 2.353 3.881
O 1.262 -0.940 3.883
Np -0.516 -0.886 2.783
Na 4.008 0.864 0.017
Na -1.229 3.911 0.017
```

- E: -6.894 eV/atom
- Formation energy from raw total energies: -2.48 eV per atom

***

The following is a PBE-GGA calculation of crystalline LiIn4Pb8 at its relaxed geometry, from Alexandria via LeMat-Bulk.

Geometry as extended XYZ:
```
13
Lattice="9.385 0.411 -4.858 -5.637 8.528 0.098 -2.801 -1.933 7.053" Properties=species:S:1:pos:R:3 pbc="T T T"
Pb 5.884 1.079 0.450
Pb 2.570 1.844 -0.628
Pb 1.183 0.887 2.864
Pb -0.236 6.119 -0.570
Pb -1.623 5.162 2.921
Pb -6.333 4.964 5.359
Pb 7.280 2.042 -3.066
Pb -4.937 5.928 1.844
In 1.874 4.470 -2.380
In 3.765 2.742 2.245
In 0.000 0.000 0.000
In 4.692 0.205 -2.429
Li -4.219 3.298 3.576
```

- E: -3.240 eV/atom
- ΔH_f (0 K): 0.032 eV per atom

***

The following is a PBE-GGA calculation of crystalline Sr2YAgSn at its relaxed geometry, from Alexandria via LeMat-Bulk.

Geometry as extended XYZ:
```
5
Lattice="-4.795 0.839 3.160 2.686 -1.988 4.604 1.783 5.373 1.279" Properties=species:S:1:pos:R:3 pbc="T T T"
Ag 0.000 0.000 0.000
Sr 0.892 2.686 0.639
Sr -2.397 0.420 1.580
Y 1.343 -0.994 2.302
Sn -0.163 2.112 4.521
```

- E: -3.321 eV/atom
- ΔH_f (0 K): 0.016 eV per atom